This record from Alexandria describes a relaxed structure of Y9Ho4Tm11. The functional is PBE-GGA.

Values from the calculation:
formation enthalpy at 0 K = 43 meV per atom
E = -5.193 eV per atom
DOS at the Fermi energy = 30.01 states/eV per cell

Lattice parameters (Å, degrees): 3.641 14.968 14.968 112.89 90.00 90.00
Atoms (fractional coordinates):
Tm: 0.000 0.841 0.159
Tm: 0.000 0.159 0.841
Y: 0.500 0.215 0.069
Tm: 0.000 0.045 0.407
Tm: 0.000 0.000 0.000
Ho: 0.500 0.554 0.755
Tm: 0.000 0.955 0.593
Tm: 0.000 0.593 0.955
Y: 0.500 0.631 0.163
Y: 0.500 0.163 0.631
Ho: 0.500 0.245 0.446
Ho: 0.500 0.446 0.245
Tm: 0.000 0.292 0.292
Y: 0.500 0.500 0.500
Tm: 0.000 0.407 0.045
Y: 0.500 0.931 0.785
Y: 0.500 0.785 0.931
Y: 0.500 0.837 0.369
Tm: 0.000 0.367 0.633
Y: 0.500 0.069 0.215
Ho: 0.500 0.755 0.554
Y: 0.500 0.369 0.837
Tm: 0.000 0.633 0.367
Tm: 0.000 0.708 0.708



This record from Alexandria describes a relaxed structure of Y2Ho4Tm5. The functional is PBE-GGA.

Values from the calculation:
formation enthalpy at 0 K = 173 meV per atom
E = -4.700 eV per atom
DOS at the Fermi energy = 17.86 states/eV per cell

Lattice parameters (Å, degrees): 6.568 8.811 10.083 40.08 70.99 68.11
Atoms (fractional coordinates):
Y: 0.800 0.098 0.302
Tm: 0.000 0.500 0.500
Tm: 0.826 0.727 0.098
Ho: 0.755 0.675 0.815
Ho: 0.245 0.325 0.185
Y: 0.200 0.902 0.698
Tm: 0.652 0.273 0.902
Ho: 0.588 0.226 0.598
Tm: 0.174 0.273 0.902
Ho: 0.412 0.774 0.402
Tm: 0.348 0.727 0.098



This record from Alexandria describes a relaxed structure of YHo3Tm2. The functional is PBE-GGA.

Values from the calculation:
formation enthalpy at 0 K = 126 meV per atom
E = -4.730 eV per atom
DOS at the Fermi energy = 20.28 states/eV per cell

Lattice parameters (Å, degrees): 3.468 10.118 11.560 108.24 98.63 90.00
Atoms (fractional coordinates):
Ho: 0.069 0.766 0.139
Ho: 0.931 0.234 0.861
Tm: 0.070 0.138 0.139
Ho: 0.559 0.439 0.118
Tm: 0.693 0.373 0.385
Ho: 0.441 0.561 0.882
Tm: 0.307 0.627 0.615
Tm: 0.930 0.862 0.861
Ho: 0.696 0.713 0.392
Y: 0.314 0.961 0.628
Y: 0.686 0.039 0.372
Ho: 0.304 0.287 0.608



This record from Alexandria describes a relaxed structure of Y3Ho2Tm9. The functional is PBE-GGA.

Values from the calculation:
formation enthalpy at 0 K = 115 meV per atom
E = -4.799 eV per atom
DOS at the Fermi energy = 22.54 states/eV per cell

Lattice parameters (Å, degrees): 6.178 13.635 10.401 39.62 55.67 53.84
Atoms (fractional coordinates):
Y: 0.377 0.715 0.667
Tm: 0.006 0.485 0.851
Y: 0.595 0.265 0.371
Tm: 0.805 0.902 0.497
Tm: 0.302 0.067 0.159
Ho: 0.568 0.303 0.660
Tm: 0.398 0.707 0.990
Tm: 0.602 0.294 0.017
Ho: 0.352 0.704 0.341
Y: 0.096 0.070 0.893
Tm: 0.182 0.097 0.506
Tm: 0.990 0.495 0.173
Tm: 0.763 0.897 0.868
Tm: 0.963 0.499 0.507